1.
## PmTlHg2 (GGA-PBE)

Data for a geometry-optimized PmTlHg2 structure.

Output
symmetry = I4/mmm

a = 4.959 Å, b = 4.959 Å, c = 5.529 Å
α = 116.65°, β = 116.64°, γ = 90.00°
Fractional coordinates of all 4 atoms:
Pm  0.500  0.000  0.000
Tl  0.000  0.500  0.000
Hg  0.750  0.750  0.500
Hg  0.250  0.250  0.500

2.
## Pm6Tl2Hg (GGA-PBE)

Data for a geometry-optimized Pm6Tl2Hg structure.

Output
symmetry = Amm2

a = 4.584 Å, b = 8.422 Å, c = 8.429 Å
α = 119.97°, β = 90.00°, γ = 90.00°
Fractional coordinates of all 9 atoms:
Pm  0.500  0.599  0.000
Pm  0.500  0.401  0.401
Pm  0.500  0.000  0.599
Pm  0.000  0.265  0.000
Pm  0.000  0.735  0.735
Pm  0.000  0.000  0.265
Tl  0.000  0.333  0.667
Tl  0.000  0.666  0.333
Hg  0.500  0.000  0.000

3.
## Pm4Tl3Hg4 (GGA-PBE)

Data for a geometry-optimized Pm4Tl3Hg4 structure.

Output
symmetry = C2/m

a = 5.151 Å, b = 7.924 Å, c = 11.223 Å
α = 133.25°, β = 103.27°, γ = 90.00°
Fractional coordinates of all 11 atoms:
Pm  0.816  0.381  0.631
Pm  0.184  0.619  0.369
Pm  0.520  0.791  0.040
Pm  0.480  0.209  0.960
Tl  0.844  0.896  0.688
Tl  0.156  0.104  0.312
Tl  0.000  0.500  0.000
Hg  0.656  0.344  0.312
Hg  0.333  0.190  0.666
Hg  0.344  0.656  0.688
Hg  0.667  0.810  0.334

4.
## PmTlHg3 (GGA-PBE)

Data for a geometry-optimized PmTlHg3 structure.

Output
symmetry = Cmcm
excess energy over the best structure of this formula in the dataset = 44.2 meV/atom

a = 5.587 Å, b = 6.590 Å, c = 8.684 Å
α = 112.30°, β = 90.00°, γ = 90.00°
Fractional coordinates of all 10 atoms:
Pm  0.750  0.189  0.378
Pm  0.250  0.811  0.622
Tl  0.750  0.638  0.276
Tl  0.250  0.362  0.724
Hg  0.750  0.611  0.703
Hg  0.750  0.092  0.703
Hg  0.250  0.908  0.297
Hg  0.250  0.389  0.297
Hg  0.000  0.000  0.000
Hg  0.500  0.000  0.000

5.
## Pm8Tl2Hg (GGA-PBE)

Data for a geometry-optimized Pm8Tl2Hg structure.

Output
symmetry = C2/m
excess energy over the best structure of this formula in the dataset = 24.7 meV/atom

a = 5.335 Å, b = 6.975 Å, c = 10.096 Å
α = 104.53°, β = 105.32°, γ = 90.00°
Fractional coordinates of all 11 atoms:
Pm  0.408  0.527  0.815
Pm  0.658  0.989  0.316
Pm  0.793  0.680  0.586
Pm  0.987  0.234  0.974
Pm  0.207  0.320  0.414
Pm  0.342  0.011  0.684
Pm  0.592  0.473  0.185
Pm  0.013  0.766  0.026
Tl  0.821  0.249  0.642
Tl  0.179  0.751  0.358
Hg  0.500  0.000  0.000

6.
## Pm4Tl3Hg2 (GGA-PBE)

Data for a geometry-optimized Pm4Tl3Hg2 structure.

Output
symmetry = P-3m1

a = 5.273 Å, b = 5.276 Å, c = 10.734 Å
α = 89.98°, β = 90.00°, γ = 60.02°
Fractional coordinates of all 9 atoms:
Pm  0.667  0.667  0.887
Pm  0.000  0.000  0.331
Pm  0.000  0.000  0.669
Pm  0.333  0.333  0.113
Tl  0.333  0.333  0.446
Tl  0.000  0.000  0.000
Tl  0.667  0.667  0.554
Hg  0.333  0.334  0.796
Hg  0.667  0.666  0.204

no.,E_form (eV per atom)
1,-0.33
2,-0.26
3,-0.34
4,-0.17
5,-0.18
6,-0.35